# CdMo2Se PBE relaxed
# - total energy (eV/atom) = -5.973
# - space group = P2/m
# - offset from the most stable computed form (kJ/mol of formula units) = 153
# - size of the total moment (μB per atom) = 0.0000
data_CdMo2Se
_chemical_formula_sum 'Cd1 Mo2 Se1'
_cell_length_a 3.883
_cell_length_b 3.132
_cell_length_c 6.067
_cell_angle_alpha 72.46
_cell_angle_beta 90.00
_cell_angle_gamma 90.00
_space_group_name_H-M_alt 'P 1'
_space_group_IT_number 1
_space_group_name_Hall 'P 1'
loop_
_atom_site_label
_atom_site_type_symbol
_atom_site_fract_x
_atom_site_fract_y
_atom_site_fract_z
Cd1 Cd 0.500 0.750 0.750
Mo1 Mo 0.000 0.097 0.035
Mo2 Mo 0.000 0.403 0.465
Se1 Se 0.500 0.250 0.250